This record from Alexandria via LeMat-Bulk describes a geometry-optimized InTe2As structure. The functional is PBE.

```
12
Lattice="4.212 0.000 0.000 -2.106 3.648 0.000 0.000 0.000 23.776" Properties=species:S:1:pos:R:3 pbc="T T T"
In 0.000 0.000 0.000
In 0.000 2.432 15.850
In 2.106 1.216 7.925
Te 0.000 0.000 5.468
Te 0.000 0.000 10.083
Te 0.000 2.432 2.157
Te 0.000 2.432 21.318
Te 2.106 1.216 13.393
Te 2.106 1.216 18.008
As 0.000 0.000 19.710
As 0.000 2.432 11.784
As 2.106 1.216 3.859
```

* space group: R3m
* theoretical density: 6.1 g/cm³
* calculated total energy: -3.48 eV per atom

---

This record from Alexandria via LeMat-Bulk describes a geometry-optimized CeScSb2 structure. The functional is PBE.

```
8
Lattice="4.303 0.000 0.000 -2.151 3.726 0.000 0.000 0.000 14.320" Properties=species:S:1:pos:R:3 pbc="T T T"
Ce 0.000 2.484 3.580
Ce 2.151 1.242 10.740
Sc 0.000 0.000 0.000
Sc 0.000 0.000 7.160
Sb 0.000 2.484 8.768
Sb 0.000 2.484 12.712
Sb 2.151 1.242 1.608
Sb 2.151 1.242 5.552
```

* space group: P6_3/mmc
* theoretical density: 6.2 g/cm³
* calculated total energy: -6.07 eV per atom

---

This record from Alexandria via LeMat-Bulk describes a geometry-optimized Ca3Pu3GeN8 structure. The functional is PBE.

```
15
Lattice="3.373 1.947 5.659 -3.373 1.947 5.659 0.000 -3.895 5.659" Properties=species:S:1:pos:R:3 pbc="T T T"
Ca -1.686 -0.974 5.659
Ca -1.686 0.974 11.318
Ca 0.000 1.947 5.659
Pu -3.373 0.000 8.489
Pu -1.686 0.974 2.830
Pu 1.686 0.974 2.830
Ge 0.000 0.000 8.489
N 0.000 0.000 4.083
N -1.611 -0.930 9.604
N 0.000 -1.860 7.373
N -1.611 0.930 7.373
N 1.611 -0.930 9.604
N 0.000 1.860 9.604
N 1.611 0.930 7.373
N 0.000 0.000 12.895
```

* space group: R-3m
* theoretical density: 7.7 g/cm³
* calculated total energy: -8.80 eV per atom

---

This record from Alexandria via LeMat-Bulk describes a geometry-optimized ThPaIn4 structure. The functional is PBE.

```
6
Lattice="0.000 4.268 4.268 4.268 0.000 4.268 4.268 4.268 0.000" Properties=species:S:1:pos:R:3 pbc="T T T"
Th 0.000 0.000 0.000
Pa 6.401 6.401 6.401
In 3.202 3.202 3.202
In 5.333 5.333 3.202
In 5.333 3.202 5.333
In 3.202 5.333 5.333
```

* space group: F-43m
* theoretical density: 9.9 g/cm³
* calculated total energy: -4.72 eV per atom
* ΔE_f: -75.0 meV per atom

---

This record from Alexandria via LeMat-Bulk describes a geometry-optimized Ce4Tl2Ge structure. The functional is PBE.

```
14
Lattice="4.524 0.000 0.000 0.000 22.412 0.000 0.000 0.000 3.798" Properties=species:S:1:pos:R:3 pbc="T T T"
Ce 0.000 1.338 0.000
Ce 0.000 7.938 1.899
Ce 0.000 14.474 1.899
Ce 0.000 21.073 0.000
Ce 2.262 3.268 1.899
Ce 2.262 9.868 0.000
Ce 2.262 12.544 0.000
Ce 2.262 19.144 1.899
Tl 0.000 4.649 0.000
Tl 0.000 17.762 0.000
Tl 2.262 6.557 0.000
Tl 2.262 15.855 0.000
Ge 0.000 11.206 1.899
Ge 2.262 0.000 1.899
```

* space group: Cmmm
* theoretical density: 9.0 g/cm³
* calculated total energy: -4.96 eV per atom
* ΔE_f: -228.6 meV per atom

---

This record from Alexandria via LeMat-Bulk describes a geometry-optimized PmEu2Cu structure. The functional is PBE.

```
12
Lattice="3.691 0.000 0.000 -1.845 3.196 0.000 0.000 0.000 33.626" Properties=species:S:1:pos:R:3 pbc="T T T"
Pm 0.000 0.000 0.000
Pm 0.000 2.131 22.417
Pm 1.845 1.065 11.209
Eu 0.000 0.000 3.524
Eu 0.000 0.000 30.102
Eu 0.000 2.131 18.894
Eu 0.000 2.131 25.941
Eu 1.845 1.065 7.685
Eu 1.845 1.065 14.732
Cu 0.000 0.000 16.813
Cu 0.000 2.131 5.604
Cu 1.845 1.065 28.022
```

* space group: R-3m
* theoretical density: 6.4 g/cm³
* calculated total energy: -7.11 eV per atom
* ΔE_f: 241.2 meV per atom

---

This record from Alexandria via LeMat-Bulk describes a geometry-optimized YTiV2Cu structure. The functional is PBE.

```
5
Lattice="4.672 0.000 0.000 0.000 4.672 0.000 0.000 0.000 4.748" Properties=species:S:1:pos:R:3 pbc="T T T"
Y 0.000 0.000 0.000
Ti 2.336 2.336 2.374
V 0.000 2.336 0.000
V 2.336 0.000 0.000
Cu 0.000 0.000 2.374
```

* space group: P4/mmm
* theoretical density: 4.8 g/cm³
* calculated total energy: -5.56 eV per atom
* ΔE_f: 1774.0 meV per atom

---

This record from Alexandria via LeMat-Bulk describes a geometry-optimized La2Rh2I structure. The functional is PBE.

```
10
Lattice="7.992 0.000 0.000 0.000 7.992 0.000 0.000 0.000 3.811" Properties=species:S:1:pos:R:3 pbc="T T T"
La 1.370 2.626 0.000
La 2.626 6.622 0.000
La 5.366 1.370 0.000
La 6.622 5.366 0.000
Rh 1.001 4.996 1.906
Rh 2.995 1.001 1.906
Rh 4.996 6.991 1.906
Rh 6.991 2.995 1.906
I 0.000 0.000 1.906
I 3.996 3.996 1.906
```

* space group: P4/mbm
* theoretical density: 8.3 g/cm³
* calculated total energy: -5.98 eV per atom

---

This record from Alexandria via LeMat-Bulk describes a geometry-optimized Sr2FeGePb structure. The functional is PBE.

```
5
Lattice="5.581 0.000 0.000 0.000 5.581 0.000 0.000 0.000 5.019" Properties=species:S:1:pos:R:3 pbc="T T T"
Sr 0.000 2.791 0.000
Sr 2.791 0.000 0.000
Fe 0.000 0.000 0.000
Ge 2.791 2.791 2.510
Pb 0.000 0.000 2.510
```

* space group: P4/mmm
* theoretical density: 5.4 g/cm³
* calculated total energy: -3.78 eV per atom
* ΔE_f: 246.8 meV per atom

---

This record from Alexandria via LeMat-Bulk describes a geometry-optimized NaTe6Pb5 structure. The functional is PBE.

```
12
Lattice="3.980 -6.905 0.000 3.980 6.905 0.000 -2.653 0.000 7.520" Properties=species:S:1:pos:R:3 pbc="T T T"
Na 0.000 0.000 0.000
Te 1.324 2.305 1.870
Te -0.001 0.000 5.635
Te 1.324 -2.305 1.870
Te 3.983 2.305 5.650
Te 5.309 0.000 1.885
Te 3.983 -2.305 5.650
Pb 2.654 4.551 3.760
Pb 3.980 2.264 0.000
Pb 2.654 0.000 3.760
Pb 3.980 -2.264 0.000
Pb 2.654 -4.551 3.760
```

* space group: C2/m
* theoretical density: 7.3 g/cm³
* calculated total energy: -3.65 eV per atom

---

This record from Alexandria via LeMat-Bulk describes a geometry-optimized AgPbAu2F8 structure. The functional is PBE.

```
12
Lattice="-2.993 2.993 5.267 2.993 -2.993 5.267 2.993 2.993 -5.267" Properties=species:S:1:pos:R:3 pbc="T T T"
Ag 0.000 0.000 0.000
Pb 2.993 0.000 2.633
Au 0.000 0.000 5.267
Au 0.000 2.993 2.633
F 3.818 1.883 -2.817
F 2.123 1.124 0.206
F 1.870 -0.871 5.061
F -0.825 1.111 2.449
F 1.124 3.864 -0.206
F 1.883 2.168 2.817
F 0.871 1.870 5.473
F 1.111 0.825 8.084
```

* space group: I-4
* theoretical density: 7.6 g/cm³
* calculated total energy: -3.64 eV per atom

---

This record from Alexandria via LeMat-Bulk describes a geometry-optimized PrDyTm2Sc4 structure. The functional is PBE.

```
16
Lattice="6.513 -6.325 0.000 6.513 6.325 0.000 -3.274 0.000 5.651" Properties=species:S:1:pos:R:3 pbc="T T T"
Pr 0.000 0.000 0.000
Pr -1.637 0.000 2.825
Dy 3.256 3.162 0.000
Dy 1.619 -3.162 2.825
Tm 1.619 3.162 2.825
Tm 3.256 -3.162 0.000
Tm 6.513 0.000 0.000
Tm 4.876 0.000 2.825
Sc 1.654 0.017 2.857
Sc 4.874 3.113 2.829
Sc 3.241 3.113 5.647
Sc 3.291 -0.017 0.032
Sc 6.460 0.017 5.619
Sc 6.511 -3.113 0.003
Sc 4.878 -3.113 2.822
Sc 8.097 -0.017 2.794
```

* space group: C2/c
* theoretical density: 5.9 g/cm³
* calculated total energy: -5.01 eV per atom
* ΔE_f: 441.4 meV per atom